A plane-wave DFT calculation with PBE-GGA was carried out for crystalline TiNbAlV at its relaxed geometry.

Lattice parameters (Å, degrees): 6.3617 6.3617 6.3617 90.00 90.00 90.00
Space group F-43m (No. 216)
Inequivalent atoms, fractional coordinates:
Ti  0.0000  0.0000  0.0000 (multiplicity 4)
Nb  0.2500  0.2500  0.2500 (multiplicity 4)
Al  0.2500  0.2500  0.7500 (multiplicity 4)
V  0.0000  0.0000  0.5000 (multiplicity 4)

Output
electronic total energy	-7.895	eV per atom

A plane-wave DFT calculation with PBE-GGA was carried out for crystalline CaLaTc2 at its relaxed geometry.

Lattice parameters (Å, degrees): 10.9759 3.9741 6.4122 90.00 125.56 90.00
Space group C2/m (No. 12)
Inequivalent atoms, fractional coordinates:
Ca  0.0000  0.0000  0.0000 (multiplicity 2)
La  0.0000  0.5000  0.5000 (multiplicity 2)
Tc  0.2473  0.0000  0.8963 (multiplicity 4)

Output
polymorph energy (0 for the lowest one)	20.5	kJ/mol of atoms

A plane-wave DFT calculation with PBE-GGA was carried out for crystalline Ho2Er3ScS6 at its relaxed geometry.

Lattice parameters (Å, degrees): 16.7358 3.8393 7.7145 90.00 103.41 90.00
Space group C2/m (No. 12)
Inequivalent atoms, fractional coordinates:
Ho  0.1660  0.0000  0.3325 (multiplicity 4)
Er  0.0000  0.5000  0.5000 (multiplicity 2)
Er  0.1680  0.0000  0.8346 (multiplicity 4)
Sc  0.0000  0.5000  0.0000 (multiplicity 2)
S  0.0014  0.0000  0.7583 (multiplicity 4)
S  0.1629  0.5000  0.0802 (multiplicity 4)
S  0.1662  0.5000  0.5845 (multiplicity 4)

Output
electronic total energy	-6.436	eV per atom

A plane-wave DFT calculation with PBE-GGA was carried out for crystalline B2C at its relaxed geometry.

Lattice parameters (Å, degrees): 14.6879 2.7131 4.5163 90.00 104.93 90.00
Space group Cm (No. 8)
Inequivalent atoms, fractional coordinates:
B  0.0000  0.0000  0.0000 (multiplicity 2)
B  0.0109  0.5000  0.7050 (multiplicity 2)
B  0.0935  0.0000  0.8543 (multiplicity 2)
B  0.1234  0.5000  0.6721 (multiplicity 2)
B  0.1420  0.0000  0.2420 (multiplicity 2)
B  0.3137  0.0000  0.0700 (multiplicity 2)
B  0.4262  0.0000  0.8928 (multiplicity 2)
B  0.4385  0.5000  0.2696 (multiplicity 2)
C  0.1762  0.5000  0.4153 (multiplicity 2)
C  0.2880  0.5000  0.5430 (multiplicity 2)
C  0.3171  0.0000  0.7286 (multiplicity 2)
C  0.3282  0.5000  0.2569 (multiplicity 2)

Output
polymorph energy (0 for the lowest one)	17.7	kJ/mol of atoms